{"formula": "NbCuSiHg", "functional": "PBE-GGA", "state": "relaxed", "lattice_angstrom": [[0.000, 3.247, 3.247], [3.247, 0.000, 3.247], [3.247, 3.247, 0.000]], "species": ["Nb", "Cu", "Si", "Hg"], "fractional_positions": [[0.000, 0.000, 0.000], [0.750, 0.750, 0.750], [0.500, 0.500, 0.500], [0.250, 0.250, 0.250]], "magnetic_moment_mub_per_fu": 1.6, "total_energy_ev_per_atom": -4.223, "polymorph_energy_mev_per_atom": 298}